DFT (PBE) results for crystalline Sm2HoSc at its relaxed geometry.

abc: 11.495 11.495 11.495
angles: 17.64 17.64 17.64
Fractional positions:
Sm 0.247 0.247 0.247
Sm 0.753 0.753 0.753
Ho 0.000 0.000 0.000
Sc 0.500 0.500 0.500

Results
ΔE to the lowest computed polymorph = 10 meV per atom
Density of states at the Fermi level = 4.81 states/eV per cell
Spin magnetization = 0.00 μB per cell

DFT (PBE) results for crystalline Sm2Ho3Sc8 at its relaxed geometry.

abc: 11.847 11.847 11.847
angles: 30.39 30.39 30.39
Fractional positions:
Sm 0.140 0.140 0.140
Sm 0.860 0.860 0.860
Ho 0.316 0.316 0.316
Ho 0.500 0.500 0.500
Ho 0.684 0.684 0.684
Sc 0.229 0.229 0.229
Sc 0.231 0.231 0.726
Sc 0.231 0.726 0.231
Sc 0.274 0.769 0.769
Sc 0.726 0.231 0.231
Sc 0.769 0.274 0.769
Sc 0.769 0.769 0.274
Sc 0.771 0.771 0.771

Results
Density of states at the Fermi level = 23.83 states/eV per cell
Spin magnetization = 0.00 μB per cell
Electronic total energy = -70.29 eV for the cell shown

DFT (PBE) results for crystalline Sm12HoSc3 at its relaxed geometry.

abc: 5.025 5.025 20.048
angles: 90.00 90.00 90.00
Fractional positions:
Sm 0.000 0.000 0.000
Sm 0.000 0.000 0.247
Sm 0.000 0.000 0.500
Sm 0.000 0.000 0.753
Sm 0.000 0.500 0.124
Sm 0.000 0.500 0.371
Sm 0.000 0.500 0.629
Sm 0.000 0.500 0.876
Sm 0.500 0.000 0.124
Sm 0.500 0.000 0.371
Sm 0.500 0.000 0.629
Sm 0.500 0.000 0.876
Ho 0.500 0.500 0.500
Sc 0.500 0.500 0.000
Sc 0.500 0.500 0.248
Sc 0.500 0.500 0.752

Results
Density of states at the Fermi level = 23.28 states/eV per cell
Spin magnetization = 0.00 μB per cell
Electronic total energy = -79.66 eV for the cell shown

DFT (PBE) results for crystalline Sm12Ho2Sc at its relaxed geometry.

abc: 6.744 6.744 24.605
angles: 90.00 90.00 116.02
Fractional positions:
Sm 0.001 0.501 0.125
Sm 0.001 0.999 0.928
Sm 0.018 0.518 0.587
Sm 0.023 0.977 0.439
Sm 0.250 0.250 0.197
Sm 0.250 0.250 0.324
Sm 0.250 0.250 0.676
Sm 0.250 0.250 0.803
Sm 0.477 0.523 0.439
Sm 0.482 0.982 0.587
Sm 0.499 0.501 0.928
Sm 0.499 0.999 0.125
Sm 0.501 0.001 0.875
Sm 0.501 0.499 0.072
Sm 0.518 0.018 0.413
Sm 0.523 0.477 0.561
Sm 0.750 0.750 0.197
Sm 0.750 0.750 0.324
Sm 0.750 0.750 0.676
Sm 0.750 0.750 0.803
Sm 0.977 0.023 0.561
Sm 0.982 0.482 0.413
Sm 0.999 0.001 0.072
Sm 0.999 0.499 0.875
Ho 0.250 0.750 0.268
Ho 0.250 0.750 0.736
Ho 0.750 0.250 0.264
Ho 0.750 0.250 0.732
Sc 0.250 0.750 0.000
Sc 0.750 0.250 0.000

Results
Density of states at the Fermi level = 45.74 states/eV per cell
Spin magnetization = 0.00 μB per cell
Electronic total energy = -139.17 eV for the cell shown

DFT (PBE) results for crystalline SmHo7Sc12 at its relaxed geometry.

abc: 8.268 8.268 8.268
angles: 87.88 87.88 87.88
Fractional positions:
Sm 0.000 0.000 0.000
Ho 0.052 0.392 0.162
Ho 0.162 0.052 0.392
Ho 0.392 0.162 0.052
Ho 0.500 0.500 0.500
Ho 0.608 0.838 0.948
Ho 0.838 0.948 0.608
Ho 0.948 0.608 0.838
Sc 0.133 0.625 0.494
Sc 0.149 0.274 0.718
Sc 0.274 0.718 0.149
Sc 0.282 0.851 0.726
Sc 0.375 0.506 0.867
Sc 0.494 0.133 0.625
Sc 0.506 0.867 0.375
Sc 0.625 0.494 0.133
Sc 0.718 0.149 0.274
Sc 0.726 0.282 0.851
Sc 0.851 0.726 0.282
Sc 0.867 0.375 0.506

Results
Density of states at the Fermi level = 43.49 states/eV per cell
Spin magnetization = 0.00 μB per cell
Electronic total energy = -108.32 eV for the cell shown

DFT (PBE) results for crystalline Sm3Ho3Sc2 at its relaxed geometry.

abc: 8.806 8.806 5.657
angles: 107.65 107.65 36.11
Fractional positions:
Sm 0.000 0.000 0.000
Sm 0.140 0.140 0.689
Sm 0.860 0.860 0.311
Ho 0.361 0.361 0.901
Ho 0.500 0.500 0.500
Ho 0.639 0.639 0.099
Sc 0.250 0.250 0.310
Sc 0.750 0.750 0.690

Results
ΔE to the lowest computed polymorph = 40 meV per atom
Density of states at the Fermi level = 13.64 states/eV per cell
Spin magnetization = 0.00 μB per cell

DFT (PBE) results for crystalline Sm4Ho3Sc2 at its relaxed geometry.

abc: 3.540 3.540 25.883
angles: 90.00 90.00 120.00
Fractional positions:
Sm 0.000 0.000 0.000
Sm 0.000 0.000 0.223
Sm 0.333 0.667 0.339
Sm 0.333 0.667 0.564
Ho 0.000 0.000 0.451
Ho 0.333 0.667 0.109
Ho 0.333 0.667 0.772
Sc 0.000 0.000 0.670
Sc 0.000 0.000 0.874

Results
ΔE to the lowest computed polymorph = 0 meV per atom
Density of states at the Fermi level = 15.97 states/eV per cell
Spin magnetization = 0.56 μB per cell

DFT (PBE) results for crystalline Sm5HoSc2 at its relaxed geometry.

abc: 9.916 14.015 3.544
angles: 90.00 90.00 90.00
Fractional positions:
Sm 0.000 0.000 0.000
Sm 0.001 0.251 0.000
Sm 0.248 0.624 0.500
Sm 0.252 0.124 0.500
Sm 0.499 0.751 0.000
Sm 0.500 0.500 0.000
Sm 0.501 0.249 0.000
Sm 0.748 0.876 0.500
Sm 0.752 0.376 0.500
Sm 0.999 0.749 0.000
Ho 0.000 0.500 0.000
Ho 0.500 0.000 0.000
Sc 0.249 0.376 0.500
Sc 0.251 0.876 0.500
Sc 0.749 0.124 0.500
Sc 0.751 0.624 0.500

Results
ΔE to the lowest computed polymorph = 0 meV per atom
Density of states at the Fermi level = 21.07 states/eV per cell
Spin magnetization = 0.00 μB per cell